AgSbP2 PBE-GGA optimized geometry; total magnetization = 0.000 μB per atom; total energy = -3.898 eV/atom; calculated density = 6.2 g cm⁻³; formation energy from raw total energies = 550 meV per atom
1.0
4.6825 -0.3114 0.0000
-0.9674 4.5921 0.0000
0.0000 0.0000 3.6851
Sb P Ag
1 2 1
direct
0.5000 0.0000 0.5000
0.0000 0.0000 0.0000
0.5000 0.5000 0.0000
0.0000 0.5000 0.5000

***

AgSbP2 PBE-GGA optimized geometry; total magnetization = 0.000 μB per atom; total energy = -4.009 eV/atom; calculated density = 6.1 g cm⁻³; formation energy from raw total energies = 440 meV per atom
1.0
-1.4343 3.2850 0.7264
0.4733 -0.5848 3.5791
5.4403 2.4461 -0.3197
Ag P Sb
1 2 1
direct
0.5000 0.5000 0.7500
0.0000 0.0000 0.9323
0.0000 0.0000 0.5677
0.5000 0.5000 0.2500

***

AgSbP PBE-GGA optimized geometry; total magnetization = 0.000 μB per atom; total energy = -3.678 eV/atom; calculated density = 6.9 g cm⁻³; formation energy from raw total energies = 450 meV per atom; energy relative to the lowest polymorph listed for this composition = 286.5 meV/atom
1.0
6.5742 -0.2137 0.1660
5.5320 2.9720 0.1268
1.0423 -0.8273 3.0767
Sb P Ag
1 1 1
direct
0.6745 0.6745 0.3255
0.3396 0.3396 0.6604
0.9859 0.9859 0.0141

***

Ag2SbP PBE-GGA optimized geometry; total magnetization = 0.000 μB per atom; total energy = -3.490 eV/atom; calculated density = 7.6 g cm⁻³; formation energy from raw total energies = 319 meV per atom; energy relative to the lowest polymorph listed for this composition = 101.6 meV/atom
1.0
-2.6394 1.7723 0.0105
-1.5730 -2.3513 -1.4507
-2.0017 -3.0226 7.0696
Sb Ag P
1 2 1
direct
0.5000 0.5000 0.7500
0.0000 0.0000 0.0410
0.0000 0.0000 0.4590
0.5000 0.5000 0.2500

***

Ag2SbP PBE-GGA optimized geometry; total magnetization = 0.000 μB per atom; total energy = -3.405 eV/atom; calculated density = 7.6 g cm⁻³; formation energy from raw total energies = 404 meV per atom; energy relative to the lowest polymorph listed for this composition = 187.1 meV/atom
1.0
0.0000 3.4276 3.4276
3.4276 0.0000 3.4276
3.4276 3.4276 0.0000
P Ag Sb
1 2 1
direct
0.0000 0.0000 0.0000
0.7500 0.7500 0.7500
0.2500 0.2500 0.2500
0.5000 0.5000 0.5000

***

AgSbP2 PBE-GGA optimized geometry; total magnetization = 0.000 μB per atom; total energy = -4.046 eV/atom; calculated density = 5.6 g cm⁻³; formation energy from raw total energies = 402 meV per atom
1.0
3.2649 0.0120 0.0000
-1.7240 2.7726 0.0000
0.0000 0.0000 9.4913
Sb P Ag
1 2 1
direct
0.0000 0.0000 0.5178
0.5000 0.5000 0.1821
0.0000 0.0000 0.0264
0.5000 0.5000 0.7737

***

AgSbP PBE-GGA optimized geometry; total magnetization = 0.000 μB per atom; total energy = -3.950 eV/atom; calculated density = 6.7 g cm⁻³; formation energy from raw total energies = 178 meV per atom; energy relative to the lowest polymorph listed for this composition = 14.3 meV/atom
1.0
3.7678 0.0000 0.0000
-1.8839 3.2630 0.0000
0.0000 0.0000 5.2395
Sb P Ag
1 1 1
direct
0.3333 0.6667 0.6372
0.6667 0.3333 0.3367
0.0000 0.0000 0.0261

***

AgSbP2 PBE-GGA optimized geometry; total magnetization = 0.000 μB per atom; total energy = -3.912 eV/atom; calculated density = 6.3 g cm⁻³; formation energy from raw total energies = 536 meV per atom
1.0
-2.8934 0.3016 -0.8091
-1.4078 -2.6002 4.0652
-0.2907 4.2726 2.6322
Sb P Ag
1 2 1
direct
0.5000 0.5000 0.0000
0.0000 0.0000 0.0000
0.0000 0.5000 0.5000
0.5000 0.0000 0.5000

***

AgSbP PBE-GGA optimized geometry; total magnetization = 0.000 μB per atom; total energy = -3.965 eV/atom; calculated density = 6.7 g cm⁻³; formation energy from raw total energies = 163 meV per atom; energy relative to the lowest polymorph listed for this composition = 0.0 meV/atom
1.0
3.9138 0.7620 0.1962
1.1040 6.0487 0.2721
-1.9333 -2.7032 5.4909
Ag P Sb
2 2 2
direct
0.6606 0.7360 0.9868
0.3394 0.2640 0.0132
0.2935 0.7352 0.3046
0.7065 0.2648 0.6954
0.0243 0.1989 0.3617
0.9757 0.8011 0.6383

***

AgSbP2 PBE-GGA optimized geometry; total magnetization = 0.000 μB per atom; total energy = -3.876 eV/atom; calculated density = 6.0 g cm⁻³; formation energy from raw total energies = 572 meV per atom
1.0
5.7627 -0.0165 -0.0037
2.9728 4.9368 0.0037
-4.1559 -2.8362 2.8095
Ag Sb P
1 1 2
direct
0.7500 0.2500 0.5000
0.2500 0.7500 0.5000
0.4572 0.4572 0.0000
0.0428 0.0428 0.0000

***

Ag2SbP PBE-GGA optimized geometry; total magnetization = 0.000 μB per atom; total energy = -3.562 eV/atom; calculated density = 7.4 g cm⁻³; formation energy from raw total energies = 247 meV per atom; energy relative to the lowest polymorph listed for this composition = 29.7 meV/atom
1.0
6.4321 0.0443 -0.0095
4.1671 4.9000 0.0095
-5.1229 -2.8509 2.6462
Ag P Sb
2 1 1
direct
0.0090 0.0090 0.0000
0.6866 0.1866 0.5000
0.4946 0.4946 0.0000
0.3098 0.8098 0.5000

***

Ag2SbP PBE-GGA optimized geometry; total magnetization = 0.000 μB per atom; total energy = -3.507 eV/atom; calculated density = 7.7 g cm⁻³; formation energy from raw total energies = 302 meV per atom; energy relative to the lowest polymorph listed for this composition = 84.5 meV/atom
1.0
5.4630 -0.0968 -0.0058
2.3481 4.9335 0.0058
-3.6848 -2.7750 2.9284
Sb Ag P
1 2 1
direct
0.2500 0.7500 0.5000
0.9870 0.9870 0.0000
0.5130 0.5130 0.0000
0.7500 0.2500 0.5000

***

AgSbP2 PBE-GGA optimized geometry; total magnetization = 0.000 μB per atom; total energy = -3.833 eV/atom; calculated density = 6.3 g cm⁻³; formation energy from raw total energies = 616 meV per atom
1.0
3.5272 0.0000 0.0000
0.0000 4.8040 0.0000
0.0000 0.0000 4.5379
P Sb Ag
2 1 1
direct
0.5000 0.5000 0.0000
0.0000 0.0000 0.0000
0.5000 0.0000 0.5000
0.0000 0.5000 0.5000

***

AgSbP2 PBE-GGA optimized geometry; total magnetization = 0.000 μB per atom; total energy = -3.866 eV/atom; calculated density = 6.2 g cm⁻³; formation energy from raw total energies = 582 meV per atom
1.0
5.8508 0.0232 0.0000
3.2229 4.8832 0.0000
-4.5369 -2.4532 2.7625
Sb Ag P
1 1 2
direct
0.5000 0.5000 0.0000
0.7500 0.2500 0.5000
0.2500 0.7500 0.5000
0.0000 0.0000 0.0000

***

Ag2SbP PBE-GGA optimized geometry; total magnetization = 0.000 μB per atom; total energy = -3.491 eV/atom; calculated density = 7.6 g cm⁻³; formation energy from raw total energies = 318 meV per atom; energy relative to the lowest polymorph listed for this composition = 100.9 meV/atom
1.0
-0.9956 3.1952 -2.9862
-2.6069 0.5935 1.5042
1.2631 4.2961 4.1757
Ag P Sb
2 1 1
direct
0.0000 0.3693 0.4767
0.0000 0.1307 0.0233
0.5000 0.2500 0.2500
0.5000 0.7500 0.7500

***

AgSbP2 PBE-GGA optimized geometry; total magnetization = 0.000 μB per atom; total energy = -4.219 eV/atom; calculated density = 6.1 g cm⁻³; formation energy from raw total energies = 229 meV per atom
1.0
-1.8474 -2.9437 -1.6129
-1.6820 -2.6501 2.1972
-6.4476 1.4449 0.1687
Ag Sb P
1 1 2
direct
0.2500 0.2500 0.2500
0.7500 0.7500 0.7500
0.9960 0.9960 0.0097
0.5040 0.5040 0.4903

***

Ag2SbP PBE-GGA optimized geometry; total magnetization = 0.000 μB per atom; total energy = -3.592 eV/atom; calculated density = 7.0 g cm⁻³; formation energy from raw total energies = 217 meV per atom; energy relative to the lowest polymorph listed for this composition = 0.0 meV/atom
1.0
-2.5942 -2.2590 -3.3822
-3.6231 -3.1306 -0.5875
-2.9557 5.6435 0.6718
Ag Sb P
2 1 1
direct
0.6845 0.6845 0.6842
0.0579 0.0579 0.9908
0.3632 0.3632 0.2030
0.3944 0.3944 0.6220

***

AgSb2P2 PBE-GGA optimized geometry; total magnetization = 0.000 μB per atom; total energy = -3.998 eV/atom; calculated density = 5.7 g cm⁻³; formation energy from raw total energies = 385 meV per atom; energy relative to the lowest polymorph listed for this composition = 40.6 meV/atom
1.0
5.2689 0.0000 0.0000
0.0000 5.2689 0.0000
2.6345 2.6345 4.3600
P Ag Sb
2 1 2
direct
0.7500 0.2500 0.5000
0.2500 0.7500 0.5000
0.0000 0.0000 0.0000
0.6753 0.6753 0.6495
0.3247 0.3247 0.3505

***

AgSbP PBE-GGA optimized geometry; total magnetization = 0.000 μB per atom; total energy = -3.954 eV/atom; calculated density = 6.4 g cm⁻³; formation energy from raw total energies = 174 meV per atom; energy relative to the lowest polymorph listed for this composition = 10.9 meV/atom
1.0
5.7759 0.0000 0.0000
0.0000 6.8934 0.0000
0.0000 0.0000 6.8169
P Ag Sb
4 4 4
direct
0.7500 0.8643 0.3716
0.7500 0.3643 0.1284
0.2500 0.1357 0.6284
0.2500 0.6357 0.8716
0.2500 0.4918 0.5323
0.7500 0.0082 0.0323
0.2500 0.9918 0.9677
0.7500 0.5082 0.4677
0.2500 0.3683 0.1363
0.7500 0.1317 0.6363
0.7500 0.6317 0.8637
0.2500 0.8683 0.3637

***

AgSbP PBE-GGA optimized geometry; total magnetization = 0.000 μB per atom; total energy = -3.557 eV/atom; calculated density = 6.9 g cm⁻³; formation energy from raw total energies = 571 meV per atom; energy relative to the lowest polymorph listed for this composition = 407.5 meV/atom
1.0
-4.1984 -0.6293 -2.5341
3.9469 -2.7969 -1.0215
-1.7996 -3.9904 3.9725
Ag P Sb
2 2 2
direct
0.3333 0.6667 0.7500
0.6667 0.3333 0.2500
0.0000 0.0000 0.0000
0.0000 0.0000 0.5000
0.6667 0.3333 0.7500
0.3333 0.6667 0.2500